No. 1
# CrGaB2Cl, optimized geometry, DFT PBE
# raw formation energy: 49.55 kcal/mol of atoms
# total moment: 0.31 μB/f.u.
# theoretical density: 4.24 g/cm³
# DOS at the Fermi energy: 1.185 states/eV per atom
data_CrGaB2Cl
_space_group_name_H-M_alt 'P 4/m m m'
_space_group_IT_number 123
_space_group_name_Hall '-P 4 2'
_cell_length_a 3.8113
_cell_length_b 3.8113
_cell_length_c 4.8223
_cell_angle_alpha 90.00
_cell_angle_beta 90.00
_cell_angle_gamma 90.00
loop_
_atom_site_label
_atom_site_type_symbol
_atom_site_fract_x
_atom_site_fract_y
_atom_site_fract_z
Cr1 Cr 0.0000 0.0000 0.0000
Ga1 Ga 0.5000 0.5000 0.0000
B1 B 0.0000 0.5000 0.5000
Cl1 Cl 0.5000 0.5000 0.5000


No. 2
# CrB2MoCl, optimized geometry, DFT PBE
# raw formation energy: 46.56 kcal/mol of atoms
# total moment: 0.00 μB/f.u.
# theoretical density: 5.48 g/cm³
# DOS at the Fermi energy: 1.068 states/eV per atom
data_CrB2MoCl
_space_group_name_H-M_alt 'P 4/m m m'
_space_group_IT_number 123
_space_group_name_Hall '-P 4 2'
_cell_length_a 3.9573
_cell_length_b 3.9573
_cell_length_c 3.9664
_cell_angle_alpha 90.00
_cell_angle_beta 90.00
_cell_angle_gamma 90.00
loop_
_atom_site_label
_atom_site_type_symbol
_atom_site_fract_x
_atom_site_fract_y
_atom_site_fract_z
Cr1 Cr 0.0000 0.0000 0.0000
B1 B 0.0000 0.5000 0.5000
Mo1 Mo 0.5000 0.5000 0.0000
Cl1 Cl 0.0000 0.0000 0.5000


No. 3
# NaCrB2Cl, optimized geometry, DFT PBE
# raw formation energy: 11.79 kcal/mol of atoms
# total moment: 0.00 μB/f.u.
# theoretical density: 2.81 g/cm³
# DOS at the Fermi energy: 0.543 states/eV per atom
data_NaCrB2Cl
_space_group_name_H-M_alt 'P 4/m m m'
_space_group_IT_number 123
_space_group_name_Hall '-P 4 2'
_cell_length_a 3.9274
_cell_length_b 3.9274
_cell_length_c 5.0641
_cell_angle_alpha 90.00
_cell_angle_beta 90.00
_cell_angle_gamma 90.00
loop_
_atom_site_label
_atom_site_type_symbol
_atom_site_fract_x
_atom_site_fract_y
_atom_site_fract_z
Na1 Na 0.0000 0.0000 0.0000
Cr1 Cr 0.5000 0.5000 0.5000
B1 B 0.0000 0.5000 0.5000
Cl1 Cl 0.5000 0.5000 0.0000


No. 4
# CrNiBCl2, optimized geometry, DFT PBE
# raw formation energy: 19.91 kcal/mol of atoms
# total moment: 3.57 μB/f.u.
# theoretical density: 3.51 g/cm³
# DOS at the Fermi energy: 1.040 states/eV per atom
data_CrNiBCl2
_space_group_name_H-M_alt 'P 4/m m m'
_space_group_IT_number 123
_space_group_name_Hall '-P 4 2'
_cell_length_a 4.7428
_cell_length_b 4.7428
_cell_length_c 4.0501
_cell_angle_alpha 90.00
_cell_angle_beta 90.00
_cell_angle_gamma 90.00
loop_
_atom_site_label
_atom_site_type_symbol
_atom_site_fract_x
_atom_site_fract_y
_atom_site_fract_z
Cr1 Cr 0.0000 0.0000 0.0000
Ni1 Ni 0.5000 0.5000 0.5000
B1 B 0.0000 0.0000 0.5000
Cl1 Cl 0.0000 0.5000 0.0000